No. 1
TbCe2Pm3Ho6 | GGA-PBE | relaxed

Cell lengths 6.1659, 6.1659, 11.7239 Å; angles 95.03, 95.03, 119.98 degrees
Closest atoms and distances in Å follow each position.
Fractional coordinates of all 12 atoms:
Pm  0.1660  0.8340  0.5000  6 Pm 3.55-3.57, 6 Ho 3.57-3.58
Pm  0.8340  0.1660  0.5000  6 Pm 3.55-3.57, 6 Ho 3.57-3.58
Pm  0.5000  0.5000  0.5000  6 Pm 3.56-3.57, 6 Ho 3.57-3.58
Ho  0.7468  0.7468  0.2467  2 Ce 3.51, 1 Tb 3.52, 6 Ho 3.55-3.58, 3 Pm 3.57
Ho  0.0824  0.4178  0.2466  2 Ce 3.51, 1 Tb 3.52, 6 Ho 3.55-3.58, 3 Pm 3.57-3.58
Ho  0.2532  0.2532  0.7533  2 Ce 3.51, 1 Tb 3.52, 6 Ho 3.55-3.58, 3 Pm 3.57
Ho  0.4178  0.0824  0.2466  2 Ce 3.51, 1 Tb 3.52, 6 Ho 3.55-3.58, 3 Pm 3.57-3.58
Ho  0.9176  0.5822  0.7534  2 Ce 3.51, 1 Tb 3.52, 6 Ho 3.55-3.58, 3 Pm 3.57-3.58
Ho  0.5822  0.9176  0.7534  2 Ce 3.51, 1 Tb 3.52, 6 Ho 3.55-3.58, 3 Pm 3.57-3.58
Tb  0.0000  0.0000  0.0000  6 Ho 3.52, 6 Ce 3.56
Ce  0.3335  0.6665  0.0000  6 Ho 3.51, 3 Ce 3.56, 3 Tb 3.56
Ce  0.6665  0.3335  0.0000  6 Ho 3.51, 3 Ce 3.56, 3 Tb 3.56

Summary:
* ΔH_f (0 K): 0.5 eV/f.u.
* density of states at the Fermi level: 20.3 states/eV per cell
* total moment: 1.9 Bohr magnetons per cell
* space-group type: No. 12

=====

No. 2
As3Rh4O12 | GGA-PBE | relaxed

Cell lengths 6.6183, 6.6183, 6.6183 Å; angles 109.47, 109.47, 109.47 degrees
Closest atoms and distances in Å follow each position.
Fractional coordinates of all 19 atoms:
O  0.1941  0.6762  0.8704  1 As 2.00, 2 Rh 2.04
O  0.6762  0.4821  0.8059  1 As 2.00, 2 Rh 2.04
O  0.6762  0.8704  0.1941  1 As 2.00, 2 Rh 2.04
O  0.3238  0.5179  0.1941  1 As 2.00, 2 Rh 2.04
O  0.3238  0.1296  0.8059  1 As 2.00, 2 Rh 2.04
O  0.4821  0.8059  0.6762  1 As 2.00, 2 Rh 2.04
O  0.8059  0.3238  0.1296  1 As 2.00, 2 Rh 2.04
O  0.1296  0.8059  0.3238  1 As 2.00, 2 Rh 2.04
O  0.8059  0.6762  0.4821  1 As 2.00, 2 Rh 2.04
O  0.5179  0.1941  0.3238  1 As 2.00, 2 Rh 2.04
O  0.1941  0.3238  0.5179  1 As 2.00, 2 Rh 2.04
O  0.8704  0.1941  0.6762  1 As 2.00, 2 Rh 2.04
Rh  0.0000  0.0000  0.5000  6 O 2.04
Rh  0.0000  0.5000  0.0000  6 O 2.04
Rh  0.5000  0.5000  0.5000  6 O 2.04
Rh  0.5000  0.0000  0.0000  6 O 2.04
As  0.0000  0.5000  0.5000  4 O 2.00
As  0.5000  0.0000  0.5000  4 O 2.00
As  0.5000  0.5000  0.0000  4 O 2.00

Summary:
* density of states at the Fermi level: 11.3 states/eV per cell
* total moment: 0.0 Bohr magnetons per cell
* formation energy (no corrections): -646 meV/atom
* space-group type: No. 204